# Li3CeIn4, optimized geometry, DFT PBE-GGA
data_Li3CeIn4
_chemical_formula_sum 'Li9 Ce3 In12'
_cell_length_a 4.8160
_cell_length_b 4.8160
_cell_length_c 26.7573
_cell_angle_alpha 90.00
_cell_angle_beta 90.00
_cell_angle_gamma 120.00
_symmetry_space_group_name_H-M 'R -3 m'
_symmetry_Int_Tables_number 166
_symmetry_space_group_name_Hall '-R 3 2"'
loop_
_atom_site_label
_atom_site_type_symbol
_atom_site_fract_x
_atom_site_fract_y
_atom_site_fract_z
Li1 Li 0.0000 0.0000 0.0000
Li2 Li 0.0000 0.0000 0.2589
Ce1 Ce 0.0000 0.0000 0.5000
In1 In 0.0000 0.0000 0.1070
In2 In 0.0000 0.0000 0.3734
# **VASP energy**: -74.9 eV/cell
# **Density of states at the Fermi level**: 1.091 states/eV/atom
# **Total magnetization**: 2.6 Bohr magnetons per cell